(1)
Material: LiScZn2Ag
Method: DFT, PBE
State: optimized geometry

Structure (CIF):
```
data_LiScZn2Ag
_chemical_formula_sum 'Li1 Sc1 Zn2 Ag1'
_symmetry_space_group_name_H-M 'P 4/m m m'
_symmetry_Int_Tables_number 123
_symmetry_space_group_name_Hall '-P 4 2'
_cell_length_a 4.412
_cell_length_b 4.412
_cell_length_c 4.498
_cell_angle_alpha 90.00
_cell_angle_beta 90.00
_cell_angle_gamma 90.00
loop_
_atom_site_label
_atom_site_type_symbol
_atom_site_fract_x
_atom_site_fract_y
_atom_site_fract_z
Li1 Li 0.000 0.000 0.000
Sc1 Sc 0.500 0.500 0.500
Zn1 Zn 0.000 0.500 0.000
Ag1 Ag 0.000 0.000 0.500
```

Calculated values
- Fermi-level density of states (states/eV/f.u.) = 3.32
- E_tot (eV per cell) = -13.1

(2)
Material: Ac8Cd2Ga
Method: DFT, PBE
State: optimized geometry

Structure (CIF):
```
data_Ac8Cd2Ga
_chemical_formula_sum 'Ac16 Cd4 Ga2'
_symmetry_space_group_name_H-M 'C 1 2/m 1'
_symmetry_Int_Tables_number 12
_symmetry_space_group_name_Hall '-C 2y'
_cell_length_a 20.058
_cell_length_b 5.696
_cell_length_c 7.692
_cell_angle_alpha 90.00
_cell_angle_beta 106.03
_cell_angle_gamma 90.00
loop_
_atom_site_label
_atom_site_type_symbol
_atom_site_fract_x
_atom_site_fract_y
_atom_site_fract_z
Ac1 Ac 0.019 0.000 0.275
Ac2 Ac 0.091 0.500 0.951
Ac3 Ac 0.161 0.500 0.468
Ac4 Ac 0.202 0.000 0.810
Cd1 Cd 0.182 0.000 0.223
Ga1 Ga 0.000 0.500 0.500
```

Calculated values
- Fermi-level density of states (states/eV/f.u.) = 13.05
- E_tot (eV per cell) = -78.5

> The highest Fermi-level density of states belongs to which entry?

Ac8Cd2Ga